No. 1
# TiPbIO6 | Alexandria via LeMat-Bulk | GGA-PBE | relaxed
data_TiPbIO6
_chemical_formula_sum 'Ti1 Pb1 I1 O6'
_cell_length_a 5.3421
_cell_length_b 5.3421
_cell_length_c 5.4228
_cell_angle_alpha 90.00
_cell_angle_beta 90.00
_cell_angle_gamma 120.00
_symmetry_space_group_name_H-M 'P 3 1 2'
_symmetry_Int_Tables_number 149
loop_
_symmetry_equiv_pos_as_xyz
'x,y,z'
'-y,x-y,z'
'-x+y,-x,z'
'-y,-x,-z'
'-x+y,y,-z'
'x,x-y,-z'
loop_
_atom_site_label
_atom_site_fract_x
_atom_site_fract_y
_atom_site_fract_z
_atom_site_occupancy
Ti1 0.0000 0.0000 0.0000 1
Pb1 0.6667 0.3333 0.5000 1
I1 0.3333 0.6667 0.0000 1
O1 0.0535 0.3316 0.2063 1
# - total DFT energy (no corrections) (eV/atom) = -6.136
# - calculated volume (Å³/cell) = 134.0
# - magnetic moment (μB/f.u.) = 0.00
# - energy relative to the elements, uncorrected (kJ/mol of formula units) = -1189

---

No. 2
# SiAsP2 | Alexandria via LeMat-Bulk | GGA-PBE | relaxed
data_SiAsP2
_chemical_formula_sum 'Si1 As1 P2'
_cell_length_a 3.563
_cell_length_b 3.563
_cell_length_c 5.380
_cell_angle_alpha 90.00
_cell_angle_beta 90.00
_cell_angle_gamma 90.00
_symmetry_space_group_name_H-M 'P 4 m m'
_symmetry_Int_Tables_number 99
loop_
_symmetry_equiv_pos_as_xyz
'x,y,z'
'-y,x,z'
'-x,-y,z'
'y,-x,z'
'-x,y,z'
'y,x,z'
'x,-y,z'
'-y,-x,z'
loop_
_atom_site_label
_atom_site_fract_x
_atom_site_fract_y
_atom_site_fract_z
_atom_site_occupancy
Si1 0.000 0.000 0.000 1
As1 0.500 0.500 0.502 1
P1 0.000 0.000 0.567 1
P2 0.500 0.500 0.060 1
# - total DFT energy (no corrections) (eV/atom) = -5.106
# - calculated volume (Å³/cell) = 68.3
# - magnetic moment (μB/f.u.) = 0.00
# - energy relative to the elements, uncorrected (kJ/mol of formula units) = 45

---

No. 3
# Mg2BiAu | Alexandria via LeMat-Bulk | GGA-PBE | relaxed
data_Mg2BiAu
_chemical_formula_sum 'Mg8 Bi4 Au4'
_cell_length_a 5.860
_cell_length_b 5.860
_cell_length_c 14.745
_cell_angle_alpha 90.00
_cell_angle_beta 90.00
_cell_angle_gamma 90.00
_symmetry_space_group_name_H-M 'I -4 2 d'
_symmetry_Int_Tables_number 122
_symmetry_space_group_name_Hall 'I -4 2bw'
loop_
_atom_site_label
_atom_site_fract_x
_atom_site_fract_y
_atom_site_fract_z
_atom_site_occupancy
Mg1 0.222 0.250 0.125 1
Bi1 0.000 0.000 0.500 1
Au1 0.000 0.000 0.000 1
# - total DFT energy (no corrections) (eV/atom) = -2.613
# - calculated volume (Å³/cell) = 506.3
# - formation energy (eV/atom) = -0.03
# - magnetic moment (μB/f.u.) = 0.00

---

No. 4
# TlHg3H6 | Alexandria via LeMat-Bulk | GGA-PBE | relaxed
data_TlHg3H6
_chemical_formula_sum 'Tl6 Hg18 H36'
_cell_length_a 12.9305
_cell_length_b 12.9305
_cell_length_c 6.9355
_cell_angle_alpha 90.00
_cell_angle_beta 90.00
_cell_angle_gamma 120.00
_symmetry_space_group_name_H-M 'R -3 c'
_symmetry_Int_Tables_number 167
_symmetry_space_group_name_Hall '-R 3 2"c'
loop_
_atom_site_label
_atom_site_fract_x
_atom_site_fract_y
_atom_site_fract_z
_atom_site_occupancy
Tl1 0.0000 0.0000 0.0000 1
Hg1 0.0000 0.4379 0.2500 1
H1 0.0510 0.2253 0.4143 1
# - total DFT energy (no corrections) (eV/atom) = -2.003
# - calculated volume (Å³/cell) = 1004.3
# - magnetic moment (μB/f.u.) = 0.00

---

No. 5
# TeHPt3 | Alexandria via LeMat-Bulk | GGA-PBE | relaxed
data_TeHPt3
_chemical_formula_sum 'Te1 H1 Pt3'
_cell_length_a 4.194
_cell_length_b 4.194
_cell_length_c 4.194
_cell_angle_alpha 90.00
_cell_angle_beta 90.00
_cell_angle_gamma 90.00
_symmetry_space_group_name_H-M 'P m -3 m'
_symmetry_Int_Tables_number 221
_symmetry_space_group_name_Hall '-P 4 2 3'
loop_
_atom_site_label
_atom_site_fract_x
_atom_site_fract_y
_atom_site_fract_z
_atom_site_occupancy
Te1 0.000 0.000 0.000 1
H1 0.500 0.500 0.500 1
Pt1 0.000 0.500 0.500 1
# - total DFT energy (no corrections) (eV/atom) = -4.734
# - calculated volume (Å³/cell) = 73.8
# - magnetic moment (μB/f.u.) = 0.00

---

No. 6
# PmGd2Tm | Alexandria via LeMat-Bulk | GGA-PBE | relaxed
data_PmGd2Tm
_chemical_formula_sum 'Pm1 Gd2 Tm1'
_cell_length_a 5.044
_cell_length_b 5.044
_cell_length_c 5.067
_cell_angle_alpha 90.00
_cell_angle_beta 90.00
_cell_angle_gamma 90.00
_symmetry_space_group_name_H-M 'P 4/m m m'
_symmetry_Int_Tables_number 123
_symmetry_space_group_name_Hall '-P 4 2'
loop_
_atom_site_label
_atom_site_fract_x
_atom_site_fract_y
_atom_site_fract_z
_atom_site_occupancy
Pm1 0.000 0.000 0.000 1
Gd1 0.000 0.500 0.500 1
Tm1 0.500 0.500 0.000 1
# - total DFT energy (no corrections) (eV/atom) = -9.323
# - calculated volume (Å³/cell) = 128.9
# - formation energy (eV/atom) = 0.02
# - magnetic moment (μB/f.u.) = 14.60

---

No. 7
# LiMoPt3 | Alexandria via LeMat-Bulk | GGA-PBE | relaxed
data_LiMoPt3
_chemical_formula_sum 'Li1 Mo1 Pt3'
_cell_length_a 4.853
_cell_length_b 4.853
_cell_length_c 4.853
_cell_angle_alpha 90.00
_cell_angle_beta 90.00
_cell_angle_gamma 90.00
_symmetry_space_group_name_H-M 'P m -3 m'
_symmetry_Int_Tables_number 221
_symmetry_space_group_name_Hall '-P 4 2 3'
loop_
_atom_site_label
_atom_site_fract_x
_atom_site_fract_y
_atom_site_fract_z
_atom_site_occupancy
Li1 0.000 0.000 0.000 1
Mo1 0.500 0.500 0.500 1
Pt1 0.000 0.500 0.500 1
# - total DFT energy (no corrections) (eV/atom) = -5.448
# - calculated volume (Å³/cell) = 114.3
# - formation energy (eV/atom) = 0.73
# - magnetic moment (μB/f.u.) = 0.00

---

No. 8
# K2LaZn | Alexandria via LeMat-Bulk | GGA-PBE | relaxed
data_K2LaZn
_chemical_formula_sum 'K6 La3 Zn3'
_cell_length_a 3.8646
_cell_length_b 3.8646
_cell_length_c 38.9515
_cell_angle_alpha 90.00
_cell_angle_beta 90.00
_cell_angle_gamma 120.00
_symmetry_space_group_name_H-M 'R -3 m'
_symmetry_Int_Tables_number 166
_symmetry_space_group_name_Hall '-R 3 2"'
loop_
_atom_site_label
_atom_site_fract_x
_atom_site_fract_y
_atom_site_fract_z
_atom_site_occupancy
K1 0.0000 0.0000 0.2386 1
La1 0.0000 0.0000 0.0000 1
Zn1 0.0000 0.0000 0.5000 1
# - total DFT energy (no corrections) (eV/atom) = -1.759
# - calculated volume (Å³/cell) = 503.8
# - formation energy (eV/atom) = 0.34
# - magnetic moment (μB/f.u.) = 0.19

---

- What is the formula in the second record?
  SiAsP2